No. 1
# ReB3Sb PBE-GGA optimized geometry
data_ReB3Sb
_symmetry_space_group_name_H-M 'P 1'
_symmetry_Int_Tables_number 1
_cell_length_a 4.295
_cell_length_b 4.295
_cell_length_c 4.295
_cell_angle_alpha 90.00
_cell_angle_beta 90.00
_cell_angle_gamma 90.00
loop_
_symmetry_equiv_pos_as_xyz
'x,y,z'
loop_
_atom_site_label
_atom_site_type_symbol
_atom_site_fract_x
_atom_site_fract_y
_atom_site_fract_z
Re1 Re 0.500 0.500 0.500
B1 B 0.500 0.000 0.000
B2 B 0.000 0.000 0.500
B3 B 0.000 0.500 0.000
Sb1 Sb 0.000 0.000 0.000
# Calculated density, g/cm3: 7.13
# Spin magnetization, μB/f.u.: 0.0
# ΔE_f (raw), kJ per mole of atoms: 282
# Raw total energy, eV/atom: -4.393
# Density of states at the Fermi level, states/eV/atom: 1.150
# Offset from the most stable computed form, meV per atom: 1719.1

No. 2
# ReBSb3 PBE-GGA optimized geometry
data_ReBSb3
_symmetry_space_group_name_H-M 'P 1'
_symmetry_Int_Tables_number 1
_cell_length_a 5.161
_cell_length_b 5.161
_cell_length_c 5.161
_cell_angle_alpha 90.00
_cell_angle_beta 90.00
_cell_angle_gamma 90.00
loop_
_symmetry_equiv_pos_as_xyz
'x,y,z'
loop_
_atom_site_label
_atom_site_type_symbol
_atom_site_fract_x
_atom_site_fract_y
_atom_site_fract_z
Sb1 Sb 0.000 0.000 0.500
Sb2 Sb 0.000 0.500 0.000
Sb3 Sb 0.500 0.000 0.000
B1 B 0.500 0.500 0.500
Re1 Re 0.000 0.000 0.000
# Calculated density, g/cm3: 6.79
# Spin magnetization, μB/f.u.: 0.0
# ΔE_f (raw), kJ per mole of atoms: 145
# Raw total energy, eV/atom: -4.795
# Density of states at the Fermi level, states/eV/atom: 1.403
# Offset from the most stable computed form, meV per atom: 153.2

No. 3
# Re3BSb PBE-GGA optimized geometry
data_Re3BSb
_symmetry_space_group_name_H-M 'P 1'
_symmetry_Int_Tables_number 1
_cell_length_a 4.207
_cell_length_b 4.207
_cell_length_c 4.207
_cell_angle_alpha 90.00
_cell_angle_beta 90.00
_cell_angle_gamma 90.00
loop_
_symmetry_equiv_pos_as_xyz
'x,y,z'
loop_
_atom_site_label
_atom_site_type_symbol
_atom_site_fract_x
_atom_site_fract_y
_atom_site_fract_z
Re1 Re 0.000 0.000 0.500
Re2 Re 0.500 0.000 0.000
Re3 Re 0.000 0.500 0.000
Sb1 Sb 0.500 0.500 0.500
B1 B 0.000 0.000 0.000
# Calculated density, g/cm3: 15.41
# Spin magnetization, μB/f.u.: 1.7
# ΔE_f (raw), kJ per mole of atoms: 54
# Raw total energy, eV/atom: -9.074
# Density of states at the Fermi level, states/eV/atom: 0.634
# Offset from the most stable computed form, meV per atom: 0.0

No. 4
# ReBSb3 PBE-GGA optimized geometry
data_ReBSb3
_symmetry_space_group_name_H-M 'P 1'
_symmetry_Int_Tables_number 1
_cell_length_a 4.676
_cell_length_b 4.676
_cell_length_c 4.676
_cell_angle_alpha 90.00
_cell_angle_beta 90.00
_cell_angle_gamma 90.00
loop_
_symmetry_equiv_pos_as_xyz
'x,y,z'
loop_
_atom_site_label
_atom_site_type_symbol
_atom_site_fract_x
_atom_site_fract_y
_atom_site_fract_z
Sb1 Sb 0.000 0.000 0.500
Sb2 Sb 0.000 0.500 0.000
Sb3 Sb 0.500 0.000 0.000
Re1 Re 0.500 0.500 0.500
B1 B 0.000 0.000 0.000
# Calculated density, g/cm3: 9.13
# Spin magnetization, μB/f.u.: 1.7
# ΔE_f (raw), kJ per mole of atoms: 130
# Raw total energy, eV/atom: -4.948
# Density of states at the Fermi level, states/eV/atom: 0.861
# Offset from the most stable computed form, meV per atom: 0.0

No. 5
# ReB3Sb PBE-GGA optimized geometry
data_ReB3Sb
_symmetry_space_group_name_H-M 'P 1'
_symmetry_Int_Tables_number 1
_cell_length_a 4.211
_cell_length_b 4.211
_cell_length_c 4.211
_cell_angle_alpha 90.00
_cell_angle_beta 90.00
_cell_angle_gamma 90.00
loop_
_symmetry_equiv_pos_as_xyz
'x,y,z'
loop_
_atom_site_label
_atom_site_type_symbol
_atom_site_fract_x
_atom_site_fract_y
_atom_site_fract_z
Sb1 Sb 0.500 0.500 0.500
Re1 Re 0.000 0.000 0.000
B1 B 0.000 0.500 0.000
B2 B 0.000 0.000 0.500
B3 B 0.500 0.000 0.000
# Calculated density, g/cm3: 7.57
# Spin magnetization, μB/f.u.: 0.0
# ΔE_f (raw), kJ per mole of atoms: 117
# Raw total energy, eV/atom: -6.112
# Density of states at the Fermi level, states/eV/atom: 0.592
# Offset from the most stable computed form, meV per atom: 0.0

No. 6
# ReB2Sb2 PBE-GGA optimized geometry
data_ReB2Sb2
_symmetry_space_group_name_H-M 'P 1'
_symmetry_Int_Tables_number 1
_cell_length_a 3.096
_cell_length_b 3.096
_cell_length_c 8.393
_cell_angle_alpha 79.37
_cell_angle_beta 79.37
_cell_angle_gamma 90.00
loop_
_symmetry_equiv_pos_as_xyz
'x,y,z'
loop_
_atom_site_label
_atom_site_type_symbol
_atom_site_fract_x
_atom_site_fract_y
_atom_site_fract_z
Sb1 Sb 0.609 0.609 0.782
Sb2 Sb 0.391 0.391 0.218
Re1 Re 0.000 0.000 0.000
B1 B 0.750 0.250 0.500
B2 B 0.250 0.750 0.500
# Calculated density, g/cm3: 9.65
# Spin magnetization, μB/f.u.: 0.0
# ΔE_f (raw), kJ per mole of atoms: 111
# Raw total energy, eV/atom: -5.657
# Density of states at the Fermi level, states/eV/atom: 0.733
# Offset from the most stable computed form, meV per atom: 0.0

No. 7
# ReB2Sb2 PBE-GGA optimized geometry
data_ReB2Sb2
_symmetry_space_group_name_H-M 'P 1'
_symmetry_Int_Tables_number 1
_cell_length_a 7.001
_cell_length_b 7.001
_cell_length_c 3.316
_cell_angle_alpha 90.00
_cell_angle_beta 90.00
_cell_angle_gamma 90.00
loop_
_symmetry_equiv_pos_as_xyz
'x,y,z'
loop_
_atom_site_label
_atom_site_type_symbol
_atom_site_fract_x
_atom_site_fract_y
_atom_site_fract_z
Sb1 Sb 0.355 0.855 0.000
Sb2 Sb 0.645 0.145 0.000
Sb3 Sb 0.855 0.645 0.000
Sb4 Sb 0.145 0.355 0.000
Re1 Re 0.500 0.500 0.000
Re2 Re 0.000 0.000 0.000
B1 B 0.684 0.816 0.500
B2 B 0.316 0.184 0.500
B3 B 0.184 0.684 0.500
B4 B 0.816 0.316 0.500
# Calculated density, g/cm3: 9.22
# Spin magnetization, μB/f.u.: 0.0
# ΔE_f (raw), kJ per mole of atoms: 158
# Raw total energy, eV/atom: -5.169
# Density of states at the Fermi level, states/eV/atom: 0.852
# Offset from the most stable computed form, meV per atom: 488.1

No. 8
# Re2BSb PBE-GGA optimized geometry
data_Re2BSb
_symmetry_space_group_name_H-M 'P 1'
_symmetry_Int_Tables_number 1
_cell_length_a 4.338
_cell_length_b 4.338
_cell_length_c 4.338
_cell_angle_alpha 60.00
_cell_angle_beta 60.00
_cell_angle_gamma 60.00
loop_
_symmetry_equiv_pos_as_xyz
'x,y,z'
loop_
_atom_site_label
_atom_site_type_symbol
_atom_site_fract_x
_atom_site_fract_y
_atom_site_fract_z
Sb1 Sb 0.500 0.500 0.500
B1 B 0.000 0.000 0.000
Re1 Re 0.250 0.250 0.250
Re2 Re 0.750 0.750 0.750
# Calculated density, g/cm3: 14.53
# Spin magnetization, μB/f.u.: 0.0
# ΔE_f (raw), kJ per mole of atoms: 91
# Raw total energy, eV/atom: -7.981
# Density of states at the Fermi level, states/eV/atom: 0.896
# Offset from the most stable computed form, meV per atom: 117.0

- Which of these has the lowest ΔE_f (raw)?
  Re3BSb